# LaSN2Cl

A relaxed LaSN2Cl crystal (PBE, the Alexandria database).

Values from the calculation:
Spin magnetization   0.09 μB/cell
V   22.05 Å³ per atom
Energy relative to the elements, uncorrected   1.036 eV per atom
Energy relative to the lowest polymorph listed for this composition   113 kJ/mol of formula units

Cell lengths 4.126, 4.126, 6.477 Å; angles 90.00, 90.00, 90.00 degrees
Space group P4/mmm (No. 123)
Unique sites:
La1 0.000 0.000 0.000 (multiplicity 1)
S1 0.000 0.000 0.500 (multiplicity 1)
N1 0.000 0.500 0.000 (multiplicity 2)
Cl1 0.500 0.500 0.500 (multiplicity 1)

***

# NiIr3S

A relaxed NiIr3S crystal (PBE, the Alexandria database).

Values from the calculation:
Spin magnetization   1.20 μB/cell
V   16.51 Å³ per atom
Energy relative to the elements, uncorrected   1.000 eV per atom
Energy relative to the lowest polymorph listed for this composition   0 kJ/mol of formula units

Cell lengths 4.355, 4.355, 4.355 Å; angles 90.00, 90.00, 90.00 degrees
Space group Pm-3m (No. 221)
Unique sites:
Ni1 0.000 0.000 0.000 (multiplicity 1)
Ir1 0.000 0.500 0.500 (multiplicity 3)
S1 0.500 0.500 0.500 (multiplicity 1)

***

# In3Ga7Sn2

A relaxed In3Ga7Sn2 crystal (PBE, the Alexandria database).

Values from the calculation:
Spin magnetization   0.00 μB/cell
V   23.22 Å³ per atom
DFT formation energy   0.075 eV/atom

Cell lengths 4.113, 4.043, 16.864 Å; angles 90.00, 96.31, 90.00 degrees
Space group P2/m (No. 10)
Unique sites:
In1 0.000 0.000 0.000 (multiplicity 1)
In2 0.296 0.500 0.618 (multiplicity 2)
Ga1 0.107 0.500 0.146 (multiplicity 2)
Ga2 0.229 0.000 0.453 (multiplicity 2)
Ga3 0.398 0.000 0.854 (multiplicity 2)
Ga4 0.500 0.500 0.000 (multiplicity 1)
Sn1 0.162 0.000 0.280 (multiplicity 2)

***

# Re2Mo2Br

A relaxed Re2Mo2Br crystal (PBE, the Alexandria database).

Values from the calculation:
Spin magnetization   0.00 μB/cell
V   21.02 Å³ per atom
Energy relative to the elements, uncorrected   0.656 eV per atom
Energy relative to the lowest polymorph listed for this composition   17 kJ/mol of formula units

Cell lengths 3.968, 3.968, 13.348 Å; angles 90.00, 90.00, 90.00 degrees
Space group I4/mmm (No. 139)
Unique sites:
Re1 0.000 0.500 0.250 (multiplicity 4)
Mo1 0.000 0.000 0.133 (multiplicity 4)
Br1 0.000 0.000 0.500 (multiplicity 2)

***

# LuZrPb

A relaxed LuZrPb crystal (PBE, the Alexandria database).

Values from the calculation:
Spin magnetization   0.85 μB/cell
V   26.31 Å³ per atom
DFT formation energy   0.008 eV/atom
Energy relative to the lowest polymorph listed for this composition   49 kJ/mol of formula units

Cell lengths 5.2029, 5.2029, 3.3669 Å; angles 90.00, 90.00, 120.00 degrees
Space group P3m1 (No. 156)
Unique sites:
Lu1 0.0000 0.0000 0.0000 (multiplicity 1)
Zr1 0.6667 0.3333 0.5269 (multiplicity 1)
Pb1 0.3333 0.6667 0.4013 (multiplicity 1)